[1]
Density functional theory data (PBE) for an optimized crystal structure of ZrTl2Cr.

abc: 5.059 5.059 5.059
angles: 60.00 60.00 60.00
Fractional positions:
Zr 0.750 0.750 0.750
Cr 0.500 0.500 0.500
Tl 0.000 0.000 0.000
Tl 0.250 0.250 0.250

Computed properties:
As for the calculated total energy: -5.1712 eV per atom. The value obtained for the calculated formation energy is 0.555 eV per atom.

[2]
Density functional theory data (PBE) for an optimized crystal structure of TmCr4.

abc: 4.795 4.795 4.795
angles: 90.00 90.00 90.00
Fractional positions:
Cr 0.000 0.500 0.500
Cr 0.500 0.000 0.500
Cr 0.000 0.000 0.000
Tm 0.500 0.500 0.500
Cr 0.500 0.500 0.000

Computed properties:
As for the calculated total energy: -6.5282 eV per atom. The value obtained for the calculated formation energy is 2.065 eV per atom.

[3]
Density functional theory data (PBE) for an optimized crystal structure of TmCr6.

abc: 5.385 5.385 5.385
angles: 109.47 109.47 109.47
Fractional positions:
Cr 0.250 0.750 0.500
Cr 0.250 0.500 0.750
Tm 0.000 0.000 0.000
Cr 0.500 0.250 0.750
Cr 0.500 0.750 0.250
Cr 0.750 0.250 0.500
Cr 0.750 0.500 0.250

Computed properties:
As for the calculated total energy: -7.6282 eV per atom. The value obtained for the calculated formation energy is 1.259 eV per atom.

[4]
Density functional theory data (PBE) for an optimized crystal structure of TmVCr4.

abc: 4.958 4.958 4.958
angles: 60.00 60.00 60.00
Fractional positions:
Cr 0.625 0.625 0.126
Cr 0.625 0.126 0.625
V 0.250 0.250 0.250
Tm 0.000 0.000 0.000
Cr 0.126 0.625 0.625
Cr 0.625 0.625 0.625

Computed properties:
As for the calculated total energy: -8.4863 eV per atom. The value obtained for the calculated formation energy is 0.194 eV per atom.

[5]
Density functional theory data (PBE) for an optimized crystal structure of TmV2Cr.

abc: 4.105 4.105 5.457
angles: 67.91 67.91 60.00
Fractional positions:
V 0.705 0.705 0.885
V 0.295 0.295 0.115
Cr 0.000 0.000 0.000
Tm 0.500 0.500 0.500

Computed properties:
As for the calculated total energy: -7.7098 eV per atom. The value obtained for the calculated formation energy is 0.373 eV per atom.

[6]
Density functional theory data (PBE) for an optimized crystal structure of TmCr4W.

abc: 4.974 4.974 4.974
angles: 60.00 60.00 60.00
Fractional positions:
Cr 0.624 0.624 0.127
Tm 0.000 0.000 0.000
Cr 0.624 0.127 0.624
Cr 0.624 0.624 0.624
Cr 0.127 0.624 0.624
W 0.250 0.250 0.250

Computed properties:
As for the calculated total energy: -9.1581 eV per atom. The value obtained for the calculated formation energy is 0.162 eV per atom.

[7]
Density functional theory data (PBE) for an optimized crystal structure of YTmZnCr.

abc: 5.021 5.021 5.021
angles: 60.00 60.00 60.00
Fractional positions:
Cr 0.500 0.500 0.500
Zn 0.000 0.000 0.000
Y 0.250 0.250 0.250
Tm 0.750 0.750 0.750

Computed properties:
As for the calculated total energy: -5.4554 eV per atom. The value obtained for the calculated formation energy is 0.003 eV per atom.

[8]
Density functional theory data (PBE) for an optimized crystal structure of UCr6.

abc: 5.343 5.343 5.343
angles: 109.47 109.47 109.47
Fractional positions:
Cr 0.250 0.500 0.750
Cr 0.500 0.250 0.750
Cr 0.500 0.750 0.250
Cr 0.250 0.750 0.500
Cr 0.750 0.500 0.250
Cr 0.750 0.250 0.500
U 0.000 0.000 0.000

Computed properties:
As for the calculated total energy: -8.4916 eV per atom. The value obtained for the calculated formation energy is 1.370 eV per atom.

[9]
Density functional theory data (PBE) for an optimized crystal structure of UCr.

abc: 3.556 3.555 5.131
angles: 90.01 90.00 90.00
Fractional positions:
Cr 0.250 0.250 0.065
U 0.750 0.750 0.373
Cr 0.750 0.750 0.935
U 0.250 0.250 0.627

Computed properties:
As for the calculated total energy: -10.2571 eV per atom. The value obtained for the calculated formation energy is 0.199 eV per atom.

[10]
Density functional theory data (PBE) for an optimized crystal structure of U2Cr.

abc: 3.411 3.411 5.210
angles: 110.34 110.34 84.28
Fractional positions:
U 0.844 0.844 0.651
Cr 0.500 0.500 0.000
U 0.156 0.156 0.349

Computed properties:
As for the calculated total energy: -10.5577 eV per atom. The value obtained for the calculated formation energy is 0.176 eV per atom.

[11]
Density functional theory data (PBE) for an optimized crystal structure of UCr5.

abc: 2.974 4.222 6.709
angles: 108.34 90.00 90.00
Fractional positions:
Cr 0.000 0.679 0.358
U 0.000 0.000 0.000
Cr 0.500 0.826 0.653
Cr 0.500 0.174 0.347
Cr 0.500 0.500 0.000
Cr 0.000 0.321 0.642

Computed properties:
As for the calculated total energy: -9.6596 eV per atom. The value obtained for the calculated formation energy is 0.241 eV per atom.

[12]
Density functional theory data (PBE) for an optimized crystal structure of UVCr.

abc: 2.770 4.309 4.309
angles: 120.00 90.00 90.00
Fractional positions:
U 0.344 0.667 0.333
Cr 0.612 0.333 0.667
V 0.044 0.000 0.000

Computed properties:
As for the calculated total energy: -9.7982 eV per atom. The value obtained for the calculated formation energy is 0.212 eV per atom.

[13]
Density functional theory data (PBE) for an optimized crystal structure of UVCr2.

abc: 3.127 3.127 5.956
angles: 90.00 90.00 90.00
Fractional positions:
U 0.500 0.500 0.500
Cr 0.000 0.000 0.756
Cr 0.000 0.000 0.244
V 0.500 0.500 0.000

Computed properties:
As for the calculated total energy: -9.6028 eV per atom. The value obtained for the calculated formation energy is 0.311 eV per atom.

[14]
Density functional theory data (PBE) for an optimized crystal structure of UV2Cr.

abc: 3.072 4.389 4.389
angles: 90.00 90.00 90.00
Fractional positions:
V 0.000 0.500 0.000
U 0.500 0.500 0.500
Cr 0.500 0.000 0.000
V 0.000 0.000 0.500

Computed properties:
As for the calculated total energy: -9.4935 eV per atom. The value obtained for the calculated formation energy is 0.294 eV per atom.

[15]
Density functional theory data (PBE) for an optimized crystal structure of UV2Cr.

abc: 2.826 2.826 8.944
angles: 80.91 80.91 60.00
Fractional positions:
V 0.765 0.765 0.706
Cr 0.500 0.500 0.500
U 0.000 0.000 0.000
V 0.235 0.235 0.294

Computed properties:
As for the calculated total energy: -9.4697 eV per atom. The value obtained for the calculated formation energy is 0.318 eV per atom.